The following is a PBE calculation of Ce4SiPBr2 after structural relaxation, from Alexandria.

Values from the calculation:
The total energy comes out at -5.92 eV/atom. The space group is P2/m, No. 10. The volume comes out at 26.6 Å³ per atom. As for the theoretical density: 6091 kg/m³.

Geometry as POSCAR:
```
Ce4SiPBr2
1.0
7.242 0.000 0.000
0.000 4.186 0.000
-2.422 0.000 7.010
Ce Si P Br
4 1 1 2
direct
0.235 0.000 0.219
0.254 0.500 0.778
0.746 0.500 0.222
0.765 0.000 0.781
0.500 0.000 0.000
0.000 0.500 0.000
0.000 0.000 0.500
0.500 0.500 0.500
```